Entry 1:
DFT (PBE) results for YEr2Tl3Te6 after structural relaxation.

Cell and atoms, written as POSCAR:
```
YEr2Tl3Te6
1.0
3.840 -6.651 0.000
3.840 6.651 0.000
-2.560 0.000 8.185
Y Er Tl Te
1 2 3 6
direct
0.000 0.000 0.000
0.333 0.667 0.000
0.667 0.333 0.000
0.166 0.834 0.500
0.500 0.500 0.500
0.834 0.166 0.500
0.071 0.406 0.212
0.265 0.265 0.788
0.406 0.071 0.212
0.594 0.929 0.788
0.735 0.735 0.212
0.929 0.594 0.788
```

Properties
Mass density in g cm⁻³: 7.2
Uncorrected formation energy in eV/atom: -1.05
Size of the total moment in μB/f.u.: 0.00

***

Entry 2:
DFT (PBE) results for Y2ErTl3Te6 after structural relaxation.

Cell and atoms, written as POSCAR:
```
Y2ErTl3Te6
1.0
3.848 -6.664 0.000
3.848 6.664 0.000
-2.566 0.000 8.189
Y Er Tl Te
2 1 3 6
direct
0.166 0.834 0.000
0.834 0.166 0.000
0.500 0.500 0.000
0.000 0.000 0.500
0.332 0.668 0.500
0.668 0.332 0.500
0.098 0.429 0.787
0.240 0.240 0.213
0.429 0.098 0.787
0.571 0.902 0.213
0.760 0.760 0.787
0.902 0.571 0.213
```

Properties
Mass density in g cm⁻³: 6.8
Uncorrected formation energy in eV/atom: -1.06
Size of the total moment in μB/f.u.: 0.00

***

Entry 3:
DFT (PBE) results for YEr3Tl3Te8 after structural relaxation.

Cell and atoms, written as POSCAR:
```
YEr3Tl3Te8
1.0
7.577 -4.367 0.000
7.577 4.367 0.000
-5.059 0.000 8.184
Y Er Tl Te
1 3 3 8
direct
0.000 0.000 0.000
0.000 0.500 0.000
0.500 0.000 0.000
0.500 0.500 0.000
0.000 0.000 0.500
0.000 0.500 0.500
0.500 0.000 0.500
0.240 0.240 0.214
0.240 0.734 0.214
0.262 0.262 0.786
0.266 0.760 0.786
0.734 0.240 0.214
0.738 0.738 0.214
0.760 0.266 0.786
0.760 0.760 0.786
```

Properties
Mass density in g cm⁻³: 6.8
DOS at the Fermi energy in states/eV/atom: 0.37
Uncorrected formation energy in eV/atom: -1.05
Size of the total moment in μB/f.u.: 0.00

***

What is the mass density in the first record?
7.2 g cm⁻³

***

Look up the uncorrected formation energy of the third one.
-1.05 eV/atom